ZrCrCl | GGA-PBE | optimized geometry

abc: 4.305 4.305 4.305
angles: 60.00 60.00 60.00
Site moments in Bohr magnetons follow the coordinates.
Element x y z (fractional)
Cl 0.750 0.750 0.750  0.04
Cr 0.000 0.000 0.000  3.27
Zr 0.500 0.500 0.500  -0.45

Output
Symmetry: F-43m
Energy above the most stable polymorph in this dataset (eV per atom): 0.6204
ΔE_f (raw) (kcal/mol of atoms): 9.86
Crystal system: cubic